No. 1
# Ac3BiBr2O6

Crystalline Ac3BiBr2O6 at its relaxed geometry (PBE, the Alexandria database).

abc: 7.3820 7.3820 5.9945
angles: 97.94 97.94 58.52
Closest atoms and distances in Å follow each position.
Positions (direct):
Ac 0.0000 0.0000 0.0000  4 O 2.62
Ac 0.0000 0.5000 0.5000  4 O 2.41-2.55
Ac 0.5000 0.0000 0.5000  4 O 2.41-2.55
Bi 0.5000 0.5000 0.5000  6 O 2.14-2.31
Br 0.2223 0.2223 0.8986  1 O 2.84, 3 Ac 3.02-3.06
Br 0.7777 0.7777 0.1014  1 O 2.84, 3 Ac 3.02-3.06
O 0.1982 0.6822 0.6985  1 Bi 2.31, 1 Ac 2.55
O 0.3178 0.8018 0.3015  1 Bi 2.31, 1 Ac 2.55
O 0.3389 0.3389 0.3418  1 Bi 2.14
O 0.6611 0.6611 0.6582  1 Bi 2.14
O 0.6822 0.1982 0.6985  1 Bi 2.31, 1 Ac 2.55
O 0.8018 0.3178 0.3015  1 Bi 2.31, 1 Ac 2.55

Summary:
E (eV/atom): -6.119

=====

No. 2
# SrLiCl2

Crystalline SrLiCl2 at its relaxed geometry (PBE, the Alexandria database).

abc: 4.2007 4.2311 7.6387
angles: 90.00 105.68 90.00
Closest atoms and distances in Å follow each position.
Positions (direct):
Sr 0.0000 0.0000 0.0000  3 Cl 2.82-2.95
Li 0.7280 0.5000 0.4654  4 Cl 2.39-2.51
Cl 0.1364 0.5000 0.2786  2 Li 2.51
Cl 0.8023 0.0000 0.6162  2 Li 2.39

Summary:
E (eV/atom): -3.470

=====

No. 3
# DyAl2O4

Crystalline DyAl2O4 at its relaxed geometry (PBE, the Alexandria database).

abc: 6.1059 6.1059 6.1059
angles: 121.19 116.98 91.64
Closest atoms and distances in Å follow each position.
Positions (direct):
Dy 0.5000 0.0000 0.0000  6 O 2.25-2.33
Dy 0.5000 0.5000 0.5000  6 O 2.25-2.33
Al 0.0000 0.0000 0.0000  2 O 1.93
Al 0.1069 0.3569 0.7500  4 O 1.81-1.89
Al 0.5000 0.0000 0.5000  2 O 1.93
Al 0.8931 0.6431 0.2500  4 O 1.81-1.89
O 0.1977 0.2253 0.9724  2 Al 1.81-1.93
O 0.2359 0.2291 0.4932  1 Al 1.89
O 0.2359 0.7427 0.0068  1 Al 1.89
O 0.2472 0.7747 0.4724  2 Al 1.81-1.93
O 0.7528 0.2253 0.5276  2 Al 1.81-1.93
O 0.7641 0.2573 0.9932  1 Al 1.89
O 0.7641 0.7709 0.5068  1 Al 1.89
O 0.8023 0.7747 0.0276  2 Al 1.81-1.93

Summary:
E (eV/atom): -7.187

=====

No. 4
# LiTl2In

Crystalline LiTl2In at its relaxed geometry (PBE, the Alexandria database).

abc: 9.7162 9.7162 9.7162
angles: 20.94 20.94 20.94
Closest atoms and distances in Å follow each position.
Positions (direct):
Li 0.0000 0.0000 0.0000  6 Tl 2.96-2.99
Tl 0.4101 0.4101 0.4101  3 Li 2.99, 3 In 3.31
Tl 0.5913 0.5913 0.5913  3 Li 2.96, 3 In 3.27
In 0.8348 0.8348 0.8348  6 Tl 3.27-3.31, 6 In 3.53

Summary:
Formation energy (meV/atom): -61.6

=====

No. 5
# Ca3MgBe

Crystalline Ca3MgBe at its relaxed geometry (PBE, the Alexandria database).

abc: 5.5794 5.5794 5.5794
angles: 90.00 90.00 90.00
Closest atoms and distances in Å follow each position.
Positions (direct):
Ca 0.0000 0.0000 0.5000  2 Be 2.79
Ca 0.0000 0.5000 0.0000  2 Be 2.79
Ca 0.5000 0.0000 0.0000  2 Be 2.79
Mg 0.5000 0.5000 0.5000  12 Ca 3.95
Be 0.0000 0.0000 0.0000  6 Ca 2.79

Summary:
Formation energy (meV/atom): 301.9

=====

No. 6
# SmY2Tm

Crystalline SmY2Tm at its relaxed geometry (PBE, the Alexandria database).

abc: 5.6881 5.6881 5.6881
angles: 60.00 60.00 60.00
Closest atoms and distances in Å follow each position.
Positions (direct):
Sm 0.0000 0.0000 0.0000  8 Y 3.48
Y 0.2500 0.2500 0.2500  4 Tm 3.48, 4 Sm 3.48
Y 0.7500 0.7500 0.7500  4 Tm 3.48, 4 Sm 3.48
Tm 0.5000 0.5000 0.5000  8 Y 3.48

Summary:
Formation energy (meV/atom): 134.4

=====

no.,M_tot (μB/cell)
1,0.00
2,0.00
3,0.00
4,0.00
5,0.15
6,0.00